No. 1
! Mn4Ge2N, relaxed, DFT GGA-PBE; values from VASP
! M_tot   0.84 μB/atom
&SYSTEM
  ibrav = 0, nat = 7, ntyp = 3
/
ATOMIC_SPECIES
Ge 72.64 Ge.upf
Mn 54.94 Mn.upf
N 14.01 N.upf
CELL_PARAMETERS angstrom
-3.4435 -0.5304 -1.4505
-1.2268 -1.2137 3.3563
-3.8849 4.9655 2.4974
ATOMIC_POSITIONS angstrom
Ge -2.7822 0.8118 1.3984
Ge -5.7730 2.4096 3.0047
Mn -3.4008 3.1420 2.0149
Mn -5.1544 0.0794 2.3882
Mn -0.6134 -0.6068 1.6781
Mn -1.7217 -0.2652 -0.7252
N 0.0000 0.0000 0.0000

***

No. 2
! Mn3GeN, relaxed, DFT GGA-PBE; values from VASP
! M_tot   0.00 μB/atom
&SYSTEM
  ibrav = 0, nat = 5, ntyp = 3
/
ATOMIC_SPECIES
Ge 72.64 Ge.upf
Mn 54.94 Mn.upf
N 14.01 N.upf
CELL_PARAMETERS angstrom
-1.1411 2.8178 2.8607
-3.5760 -1.4108 -1.6271
1.5434 -3.2058 2.1832
ATOMIC_POSITIONS angstrom
Ge -1.2898 -0.7310 1.3886
Mn 0.0461 -0.3570 3.3572
Mn -1.4684 -2.9873 0.5657
Mn -3.1383 0.7595 0.9871
N -0.1002 -0.0568 0.1079

***

No. 3
! MnNb2GeN, relaxed, DFT GGA-PBE; values from VASP
! M_tot   0.47 μB/atom
&SYSTEM
  ibrav = 0, nat = 5, ntyp = 4
/
ATOMIC_SPECIES
Nb 92.91 Nb.upf
Mn 54.94 Mn.upf
Ge 72.64 Ge.upf
N 14.01 N.upf
CELL_PARAMETERS angstrom
4.3271 0.0000 0.0000
0.0000 4.3271 0.0000
0.0000 0.0000 3.7660
ATOMIC_POSITIONS angstrom
Nb 0.0000 2.1636 0.0000
Nb 2.1636 0.0000 0.0000
Mn 0.0000 0.0000 1.8830
Ge 2.1636 2.1636 1.8830
N 0.0000 0.0000 0.0000

***

No. 4
! NdMn2GeN, relaxed, DFT GGA-PBE; values from VASP
! M_tot   0.58 μB/atom
&SYSTEM
  ibrav = 0, nat = 10, ntyp = 4
/
ATOMIC_SPECIES
Nd 144.24 Nd.upf
Mn 54.94 Mn.upf
Ge 72.64 Ge.upf
N 14.01 N.upf
CELL_PARAMETERS angstrom
3.7742 0.0000 0.0000
-1.8871 5.4216 0.0000
0.0000 0.0000 7.2084
ATOMIC_POSITIONS angstrom
Nd 0.0000 4.9480 5.4063
Nd 1.8871 0.4736 1.8021
Mn 0.0000 1.7758 6.7948
Mn 1.8871 3.6458 0.4136
Mn 0.0000 1.7758 4.0178
Mn 1.8871 3.6458 3.1906
Ge 1.8871 2.5280 5.4063
Ge 0.0000 2.8936 1.8021
N 0.0000 0.0000 0.0000
N 0.0000 0.0000 3.6042

***

No. 5
! Nd2Mn2Ge2N, relaxed, DFT GGA-PBE; values from VASP
! M_tot   1.03 μB/atom
&SYSTEM
  ibrav = 0, nat = 7, ntyp = 4
/
ATOMIC_SPECIES
Nd 144.24 Nd.upf
Mn 54.94 Mn.upf
Ge 72.64 Ge.upf
N 14.01 N.upf
CELL_PARAMETERS angstrom
4.1441 0.0000 0.0000
0.0000 4.1441 0.0000
-2.0720 -2.0720 7.6258
ATOMIC_POSITIONS angstrom
Nd 0.0000 0.0000 2.4806
Nd 2.0720 2.0720 5.1453
Mn 0.0000 2.0720 0.0000
Mn 2.0720 0.0000 0.0000
Ge 0.0000 0.0000 5.8244
Ge 2.0720 2.0720 1.8014
N 0.0000 0.0000 0.0000

***

No. 6
! MnNi2GeN, relaxed, DFT GGA-PBE; values from VASP
! M_tot   0.00 μB/atom
&SYSTEM
  ibrav = 0, nat = 5, ntyp = 4
/
ATOMIC_SPECIES
Ni 58.69 Ni.upf
Ge 72.64 Ge.upf
Mn 54.94 Mn.upf
N 14.01 N.upf
CELL_PARAMETERS angstrom
4.4866 0.0000 0.0000
0.0000 3.4434 0.0000
0.0000 0.0000 4.4866
ATOMIC_POSITIONS angstrom
Ni 0.0000 0.0000 2.2433
Ni 2.2433 0.0000 0.0000
Ge 2.2433 1.7217 2.2433
Mn 0.0000 0.0000 0.0000
N 0.0000 1.7217 0.0000

***

No. 7
! MnNi2GeN, relaxed, DFT GGA-PBE; values from VASP
! M_tot   0.00 μB/atom
&SYSTEM
  ibrav = 0, nat = 5, ntyp = 4
/
ATOMIC_SPECIES
Ni 58.69 Ni.upf
Ge 72.64 Ge.upf
Mn 54.94 Mn.upf
N 14.01 N.upf
CELL_PARAMETERS angstrom
-0.1422 -3.3163 1.8978
3.7374 0.2742 0.7592
-0.7782 1.8445 3.1648
ATOMIC_POSITIONS angstrom
Ni 1.8687 0.1371 0.3796
Ni -0.0711 -1.6581 0.9489
Ge 1.4085 -0.5988 2.9109
Mn -0.3891 0.9222 1.5824
N 0.0000 0.0000 0.0000

***

No. 8
! NpMn2GeN, relaxed, DFT GGA-PBE; values from VASP
! M_tot   0.94 μB/atom
&SYSTEM
  ibrav = 0, nat = 5, ntyp = 4
/
ATOMIC_SPECIES
Np 237.00 Np.upf
Mn 54.94 Mn.upf
Ge 72.64 Ge.upf
N 14.01 N.upf
CELL_PARAMETERS angstrom
-2.8553 -0.6645 2.8512
-1.2793 -2.9933 -1.9788
3.1655 -2.9884 2.4736
ATOMIC_POSITIONS angstrom
Np 0.1942 -4.3843 -0.8274
Mn 2.2853 -4.2579 1.2963
Mn 0.3679 -6.2283 1.8496
Ge -0.0932 -3.6927 1.9788
N 0.0492 -0.0465 0.0384

***

Number 1: formation energy from raw total energies -106 meV/atom, E -54.984 eV/cell. Number 2: formation energy from raw total energies 542 meV/atom, E -37.744 eV/cell. Number 3: formation energy from raw total energies -454 meV/atom, E -44.523 eV/cell. Number 4: formation energy from raw total energies -655 meV/atom, E -78.648 eV/cell. Number 5: formation energy from raw total energies -608 meV/atom, E -49.689 eV/cell. Number 6: formation energy from raw total energies 716 meV/atom, E -30.094 eV/cell. Number 7: formation energy from raw total energies -12 meV/atom, E -33.735 eV/cell. Number 8: formation energy from raw total energies -217 meV/atom, E -45.310 eV/cell.